Computed, not measured: an optimized crystal structure of Ag2MoO4 at the PBE+U level of DFT.

Cell lengths 6.693, 6.693, 6.693 Å; angles 60.00, 60.00, 60.00 degrees
Positions (direct):
1 Ag 0.125 0.625 0.125
2 Ag 0.125 0.125 0.625
3 Ag 0.625 0.125 0.125
4 Ag 0.125 0.125 0.125
5 O 0.419 0.860 0.860
6 O 0.390 0.390 0.390
7 O 0.860 0.860 0.860
8 O 0.860 0.419 0.860
9 O 0.831 0.390 0.390
10 O 0.860 0.860 0.419
11 O 0.390 0.831 0.390
12 O 0.390 0.390 0.831
13 Mo 0.500 0.500 0.500
14 Mo 0.750 0.750 0.750

Output
As for the spin magnetization: 0.0 μB/cell. The calculation puts the polymorph energy (0 for the lowest one) at 0 meV per atom. The space-group type is No. 227. The calculated total energy is -78.252 eV/cell.